(1)
Below is a relaxed Hf5TiTc6 crystal, with properties calculated at the PBE level.

Properties
crystal system	monoclinic
energy of formation	-5.6	eV per formula unit

a b c (Å): 7.921 13.732 4.588
angles (deg): 90.00 125.22 90.00
Space group C2/m (No. 12)
One atom of each set of equivalent atoms:
Hf: 0.000 0.000 0.000 (multiplicity 2)
Hf: 0.000 0.167 0.500 (multiplicity 4)
Hf: 0.000 0.335 0.000 (multiplicity 4)
Ti: 0.000 0.500 0.500 (multiplicity 2)
Tc: 0.245 0.500 0.245 (multiplicity 4)
Tc: 0.247 0.336 0.747 (multiplicity 8)

***

(2)
Below is a relaxed Li3In4Ag4 crystal, with properties calculated at the PBE level.

Properties
crystal system	orthorhombic
energy of formation	-1.1	eV per formula unit

a b c (Å): 3.249 9.188 15.475
angles (deg): 90.00 90.00 90.00
Space group Immm (No. 71)
One atom of each set of equivalent atoms:
Li: 0.000 0.000 0.000 (multiplicity 2)
Li: 0.000 0.500 0.132 (multiplicity 4)
In: 0.000 0.000 0.202 (multiplicity 4)
In: 0.000 0.168 0.500 (multiplicity 4)
Ag: 0.000 0.247 0.328 (multiplicity 8)

***

(3)
Below is a relaxed Sr2ZnNiI crystal, with properties calculated at the PBE level.

Properties
formation energy without anion corrections	-0.4438	eV per atom
crystal system	tetragonal

a b c (Å): 5.845 5.845 4.621
angles (deg): 90.00 90.00 90.00
Space group P4/mmm (No. 123)
One atom of each set of equivalent atoms:
Sr: 0.000 0.500 0.000 (multiplicity 2)
Zn: 0.000 0.000 0.500 (multiplicity 1)
Ni: 0.000 0.000 0.000 (multiplicity 1)
I: 0.500 0.500 0.500 (multiplicity 1)

***

(4)
Below is a relaxed Cr2ReRu crystal, with properties calculated at the PBE level.

Properties
crystal system	tetragonal
energy of formation	0.7	eV per formula unit

a b c (Å): 3.734 3.734 7.607
angles (deg): 90.00 90.00 90.00
Space group I-4m2 (No. 119)
One atom of each set of equivalent atoms:
Cr: 0.000 0.000 0.000 (multiplicity 2)
Cr: 0.000 0.500 0.250 (multiplicity 2)
Re: 0.000 0.500 0.750 (multiplicity 2)
Ru: 0.000 0.000 0.500 (multiplicity 2)

***

(5)
Below is a relaxed Zr2PSe crystal, with properties calculated at the PBE level.

Properties
formation energy without anion corrections	-1.0806	eV per atom
crystal system	tetragonal

a b c (Å): 3.308 3.308 6.666
angles (deg): 90.00 90.00 90.00
Space group P4/mmm (No. 123)
One atom of each set of equivalent atoms:
Zr: 0.000 0.000 0.236 (multiplicity 2)
P: 0.500 0.500 0.000 (multiplicity 1)
Se: 0.500 0.500 0.500 (multiplicity 1)

***

(6)
Below is a relaxed CaSiP2Cl crystal, with properties calculated at the PBE level.

Properties
formation energy without anion corrections	-0.3263	eV per atom
crystal system	tetragonal

a b c (Å): 4.501 4.501 5.251
angles (deg): 90.00 90.00 90.00
Space group P4/mmm (No. 123)
One atom of each set of equivalent atoms:
Ca: 0.000 0.000 0.000 (multiplicity 1)
Si: 0.500 0.500 0.500 (multiplicity 1)
P: 0.000 0.500 0.500 (multiplicity 2)
Cl: 0.500 0.500 0.000 (multiplicity 1)

***

(7)
Below is a relaxed Ce2FeCo crystal, with properties calculated at the PBE level.

Properties
crystal system	trigonal
energy of formation	1.5	eV per formula unit

a b c (Å): 2.9914 2.9914 27.6088
angles (deg): 90.00 90.00 120.00
Space group R-3m (No. 166, hexagonal axes)
One atom of each set of equivalent atoms:
Ce: 0.0000 0.0000 0.0848 (multiplicity 6)
Fe: 0.0000 0.0000 0.0000 (multiplicity 3)
Co: 0.0000 0.0000 0.5000 (multiplicity 3)

***

(8)
Below is a relaxed RbTlGe crystal, with properties calculated at the PBE level.

Properties
crystal system	triclinic
energy of formation	-0.1	eV per formula unit

a b c (Å): 4.059 7.515 7.741
angles (deg): 81.60 74.88 74.39
Space group P1 (No. 1)
One atom of each set of equivalent atoms:
Rb: 0.000 0.000 0.000 (multiplicity 1)
Rb: 0.112 0.471 0.298 (multiplicity 1)
Tl: 0.328 0.739 0.599 (multiplicity 1)
Tl: 0.700 0.079 0.513 (multiplicity 1)
Ge: 0.419 0.379 0.776 (multiplicity 1)
Ge: 0.772 0.553 0.896 (multiplicity 1)

***

(9)
Below is a relaxed AlPS2I crystal, with properties calculated at the PBE level.

Properties
formation energy without anion corrections	1.1100	eV per atom
crystal system	tetragonal

a b c (Å): 5.072 5.072 5.248
angles (deg): 90.00 90.00 90.00
Space group P4/mmm (No. 123)
One atom of each set of equivalent atoms:
Al: 0.000 0.000 0.000 (multiplicity 1)
P: 0.500 0.500 0.000 (multiplicity 1)
S: 0.000 0.500 0.500 (multiplicity 2)
I: 0.500 0.500 0.500 (multiplicity 1)

***

(10)
Below is a relaxed CaLa2Pm2Pr4 crystal, with properties calculated at the PBE level.

Properties
crystal system	monoclinic
energy of formation	0.2	eV per formula unit

a b c (Å): 19.538 3.735 10.057
angles (deg): 90.00 115.81 90.00
Space group C2/m (No. 12)
One atom of each set of equivalent atoms:
Ca: 0.000 0.000 0.000 (multiplicity 2)
La: 0.171 0.500 0.998 (multiplicity 4)
Pm: 0.148 0.000 0.668 (multiplicity 4)
Pr: 0.019 0.500 0.342 (multiplicity 4)
Pr: 0.187 0.000 0.338 (multiplicity 4)

***

(11)
Below is a relaxed HfCdRh2 crystal, with properties calculated at the PBE level.

Properties
crystal system	tetragonal
energy of formation	-0.7	eV per formula unit

a b c (Å): 7.097 7.097 5.946
angles (deg): 90.00 90.00 90.00
Space group I-42d (No. 122)
One atom of each set of equivalent atoms:
Hf: 0.000 0.000 0.000 (multiplicity 4)
Cd: 0.000 0.000 0.500 (multiplicity 4)
Rh: 0.230 0.250 0.125 (multiplicity 8)

***

(12)
Below is a relaxed YThPdAu crystal, with properties calculated at the PBE level.

Properties
crystal system	orthorhombic
energy of formation	-3.3	eV per formula unit

a b c (Å): 4.555 3.813 11.316
angles (deg): 90.00 90.00 90.00
Space group Amm2 (No. 38)
One atom of each set of equivalent atoms:
Y: 0.000 0.000 0.000 (multiplicity 2)
Th: 0.500 0.000 0.724 (multiplicity 2)
Pd: 0.000 0.000 0.267 (multiplicity 2)
Au: 0.500 0.000 0.447 (multiplicity 2)